## A
Entry from Alexandria via LeMat-Bulk: Cs3AuBr6 after structural relaxation (GGA-PBE).

## Properties
The value obtained for the volume is 46.57 Å³/atom. For the density of states at the Fermi level, the calculation gives 0.00 states/eV per cell.

Cell lengths 9.024, 9.024, 9.024 Å; angles 125.88, 125.88, 80.09 degrees
Atoms (fractional coordinates):
Cs  0.000  0.000  0.000
Cs  0.250  0.750  0.500
Cs  0.750  0.250  0.500
Au  0.500  0.500  0.000
Br  0.248  0.248  0.000
Br  0.288  0.288  0.576
Br  0.288  0.712  0.000
Br  0.712  0.288  0.000
Br  0.712  0.712  0.424
Br  0.752  0.752  0.000

=====

## B
Entry from Alexandria via LeMat-Bulk: Cs3AuBr6 after structural relaxation (GGA-PBE).

## Properties
The value obtained for the volume is 44.73 Å³/atom.

Cell lengths 5.847, 7.744, 20.521 Å; angles 90.00, 105.72, 90.00 degrees
Atoms (fractional coordinates):
Cs  0.000  0.000  0.000
Cs  0.000  0.500  0.500
Cs  0.222  0.082  0.707
Cs  0.222  0.418  0.207
Cs  0.778  0.582  0.793
Cs  0.778  0.918  0.293
Au  0.500  0.000  0.500
Au  0.500  0.500  0.000
Br  0.177  0.567  0.688
Br  0.177  0.933  0.188
Br  0.241  0.185  0.409
Br  0.241  0.315  0.909
Br  0.424  0.748  0.921
Br  0.424  0.752  0.421
Br  0.576  0.248  0.579
Br  0.576  0.252  0.079
Br  0.759  0.685  0.091
Br  0.759  0.815  0.591
Br  0.823  0.067  0.812
Br  0.823  0.433  0.312

=====

## C
Entry from Alexandria via LeMat-Bulk: Cs3AuBr6 after structural relaxation (GGA-PBE).

## Properties
The value obtained for the volume is 45.36 Å³/atom. For the density of states at the Fermi level, the calculation gives 2.03 states/eV per cell.

Cell lengths 12.978, 12.978, 5.641 Å; angles 90.00, 90.00, 107.29 degrees
Atoms (fractional coordinates):
Cs  0.105  0.895  0.500
Cs  0.246  0.455  0.333
Cs  0.455  0.246  0.833
Cs  0.545  0.754  0.333
Cs  0.754  0.545  0.833
Cs  0.895  0.105  0.000
Au  0.270  0.730  0.806
Au  0.730  0.270  0.306
Br  0.102  0.577  0.803
Br  0.163  0.169  0.698
Br  0.169  0.163  0.198
Br  0.263  0.737  0.301
Br  0.423  0.898  0.803
Br  0.425  0.575  0.829
Br  0.575  0.425  0.329
Br  0.577  0.102  0.303
Br  0.737  0.263  0.801
Br  0.831  0.837  0.698
Br  0.837  0.831  0.198
Br  0.898  0.423  0.303

=====

Which of them is the most stable? Correct choice: B.

=====

## A
Entry from Alexandria via LeMat-Bulk: Cs2Au2Br5 after structural relaxation (GGA-PBE).

## Properties
The value obtained for the volume is 37.26 Å³/atom. For the density of states at the Fermi level, the calculation gives 11.54 states/eV per cell.

Cell lengths 12.680, 12.680, 12.680 Å; angles 50.49, 145.29, 144.51 degrees
Atoms (fractional coordinates):
Cs  0.036  0.125  0.161
Cs  0.036  0.375  0.411
Cs  0.964  0.625  0.589
Cs  0.964  0.875  0.839
Au  0.477  0.749  0.228
Au  0.500  0.000  0.500
Au  0.500  0.500  0.000
Au  0.522  0.249  0.772
Br  0.000  0.249  0.749
Br  0.000  0.751  0.251
Br  0.445  0.641  0.088
Br  0.445  0.857  0.304
Br  0.500  0.251  0.251
Br  0.500  0.500  0.500
Br  0.500  0.749  0.749
Br  0.554  0.141  0.696
Br  0.554  0.357  0.912
Br  0.999  0.000  0.500

=====

## B
Entry from Alexandria via LeMat-Bulk: Cs2Au2Br5 after structural relaxation (GGA-PBE).

## Properties
The value obtained for the volume is 41.53 Å³/atom. For the density of states at the Fermi level, the calculation gives 4.96 states/eV per cell.

Cell lengths 8.961, 8.961, 8.816 Å; angles 96.52, 96.52, 32.12 degrees
Atoms (fractional coordinates):
Cs  0.082  0.082  0.297
Cs  0.918  0.918  0.703
Au  0.352  0.352  0.100
Au  0.648  0.648  0.900
Br  0.281  0.281  0.839
Br  0.409  0.409  0.371
Br  0.500  0.500  0.000
Br  0.591  0.591  0.629
Br  0.719  0.719  0.161

=====

Which of them is the most stable? Correct choice: B.

=====

## A
Entry from Alexandria via LeMat-Bulk: CsAu3Br after structural relaxation (GGA-PBE).

## Properties
The value obtained for the volume is 43.45 Å³/atom. For the density of states at the Fermi level, the calculation gives 5.10 states/eV per cell.

Cell lengths 6.011, 6.011, 6.011 Å; angles 90.00, 90.00, 90.00 degrees
Atoms (fractional coordinates):
Cs  0.000  0.000  0.000
Au  0.000  0.000  0.500
Au  0.000  0.500  0.000
Au  0.500  0.000  0.000
Br  0.500  0.500  0.500

=====

## B
Entry from Alexandria via LeMat-Bulk: CsAu3Br after structural relaxation (GGA-PBE).

## Properties
The value obtained for the volume is 32.47 Å³/atom. For the density of states at the Fermi level, the calculation gives 1.37 states/eV per cell.

Cell lengths 5.456, 5.456, 5.456 Å; angles 90.00, 90.00, 90.00 degrees
Atoms (fractional coordinates):
Cs  0.000  0.000  0.000
Au  0.000  0.500  0.500
Au  0.500  0.000  0.500
Au  0.500  0.500  0.000
Br  0.500  0.500  0.500

=====

Which of them is the most stable? Correct choice: B.